[1]
Material: HgSb2Au
Method: DFT, meta-GGA SCAN
State: PBEsol geometry

The structure in extended XYZ format:
```
4
Lattice="3.5617 -2.1044 0.0000 3.5617 2.1044 0.0000 -2.5088 0.0000 6.6218" Properties=species:S:1:pos:R:3 pbc="T T T"
Hg 0.0000 0.0000 0.0000
Sb -0.1012 0.0000 4.6868
Sb 4.7158 0.0000 1.9350
Au 2.3073 0.0000 3.3109
```

Computed properties:
DOS at the Fermi energy = 1.91 states/eV/f.u.
electronic total energy = -53.042 eV/atom
SG = No. 12
raw formation energy = -7.8 kJ per mole of atoms



[2]
Material: HgSb2Au
Method: DFT, meta-GGA SCAN
State: PBEsol geometry

The structure in extended XYZ format:
```
4
Lattice="3.2677 0.0000 0.0000 0.0000 3.2677 0.0000 0.0000 0.0000 8.7132" Properties=species:S:1:pos:R:3 pbc="T T T"
Hg 0.0000 0.0000 0.0000
Sb 1.6339 1.6339 2.4216
Sb 1.6339 1.6339 6.2916
Au 0.0000 0.0000 4.3566
```

Computed properties:
DOS at the Fermi energy = 2.18 states/eV/f.u.
electronic total energy = -52.764 eV/atom
SG = No. 123
raw formation energy = 19.0 kJ per mole of atoms



[3]
Material: HgSb2Au
Method: DFT, meta-GGA SCAN
State: PBEsol geometry

The structure in extended XYZ format:
```
4
Lattice="1.9521 -2.6039 0.0000 1.9521 2.6039 0.0000 0.0000 0.0000 9.1101" Properties=species:S:1:pos:R:3 pbc="T T T"
Hg 0.0000 0.0000 0.0000
Sb 0.0000 0.0000 4.0457
Sb 1.9521 0.0000 6.7346
Au 1.9521 0.0000 2.0356
```

Computed properties:
DOS at the Fermi energy = 1.91 states/eV/f.u.
electronic total energy = -52.771 eV/atom
SG = No. 35
raw formation energy = 18.3 kJ per mole of atoms



[4]
Material: Hg2SbAuSe
Method: DFT, meta-GGA SCAN
State: PBEsol geometry

The structure in extended XYZ format:
```
5
Lattice="5.2116 0.0000 0.0000 0.0000 5.2116 0.0000 0.0000 0.0000 4.9396" Properties=species:S:1:pos:R:3 pbc="T T T"
Hg 0.0000 2.6058 0.0000
Hg 2.6058 0.0000 0.0000
Sb 0.0000 0.0000 2.4698
Au 2.6058 2.6058 2.4698
Se 2.6058 2.6058 0.0000
```

Computed properties:
DOS at the Fermi energy = 4.71 states/eV/f.u.
electronic total energy = -52.007 eV/atom
SG = No. 123
raw formation energy = 53.9 kJ per mole of atoms